AcTbDy6Ho2 | GGA-PBE | optimized geometry

Values from the calculation:
Its formation energy is 1.307 eV/f.u. For the density of states at the Fermi level, the calculation gives 15.0 states/eV/f.u. The calculation puts the magnetization at 0.0 μB per formula unit.

a b c (Å): 9.5090 8.8955 8.8955
angles (deg): 117.66 92.59 92.59
Last column: nearest neighbours and their distance in Å.
Fractional positions:
1 Dy 0.3839 0.5100 0.2882  4 Dy 3.22-3.47, 3 Ho 3.27-3.43, 2 Tb 3.45-3.54
2 Ho 0.9511 0.6846 0.7984  6 Dy 3.27-3.57, 2 Ac 3.45-3.57, 1 Tb 3.57
3 Ac 0.2500 0.9695 0.0305  4 Ho 3.45-3.57, 4 Dy 3.65-3.82
4 Dy 0.8839 0.2882 0.5100  4 Dy 3.22-3.47, 3 Ho 3.27-3.43, 2 Tb 3.45-3.54
5 Dy 0.5574 0.7506 0.1278  7 Dy 3.42-3.79, 1 Ho 3.57, 1 Ac 3.82
6 Dy 0.6806 0.0151 0.5557  5 Dy 3.22-3.60, 2 Ho 3.42-3.48, 1 Tb 3.51
7 Ac 0.7500 0.0305 0.9695  4 Ho 3.45-3.57, 4 Dy 3.65-3.82
8 Dy 0.6161 0.4900 0.7118  4 Dy 3.22-3.47, 3 Ho 3.27-3.43, 2 Tb 3.45-3.54
9 Dy 0.0574 0.1278 0.7506  7 Dy 3.42-3.79, 1 Ho 3.57, 1 Ac 3.82
10 Ho 0.4511 0.7984 0.6846  6 Dy 3.27-3.57, 2 Ac 3.45-3.57, 1 Tb 3.57
11 Dy 0.3194 0.9849 0.4443  5 Dy 3.22-3.60, 2 Ho 3.42-3.48, 1 Tb 3.51
12 Dy 0.1806 0.5557 0.0151  5 Dy 3.22-3.60, 2 Ho 3.42-3.48, 1 Tb 3.51
13 Ho 0.5489 0.2016 0.3154  6 Dy 3.27-3.57, 2 Ac 3.45-3.57, 1 Tb 3.57
14 Tb 0.7500 0.5882 0.4118  6 Dy 3.45-3.54, 4 Ho 3.57-3.79
15 Dy 0.8194 0.4443 0.9849  5 Dy 3.22-3.60, 2 Ho 3.42-3.48, 1 Tb 3.51
16 Ho 0.0489 0.3154 0.2016  6 Dy 3.27-3.57, 2 Ac 3.45-3.57, 1 Tb 3.57
17 Dy 0.1161 0.7118 0.4900  4 Dy 3.22-3.47, 3 Ho 3.27-3.43, 2 Tb 3.45-3.54
18 Dy 0.4426 0.2494 0.8722  7 Dy 3.42-3.79, 1 Ho 3.57, 1 Ac 3.82
19 Tb 0.2500 0.4118 0.5882  6 Dy 3.45-3.54, 4 Ho 3.57-3.79
20 Dy 0.9426 0.8722 0.2494  7 Dy 3.42-3.79, 1 Ho 3.57, 1 Ac 3.82

AcTb2Dy6Ho | GGA-PBE | optimized geometry

Values from the calculation:
Its formation energy is 1.296 eV/f.u. For the density of states at the Fermi level, the calculation gives 14.8 states/eV/f.u. The calculation puts the magnetization at 0.0 μB per formula unit.

a b c (Å): 9.5270 8.9059 8.9059
angles (deg): 117.87 92.69 92.69
Last column: nearest neighbours and their distance in Å.
Fractional positions:
1 Dy 0.5576 0.7494 0.1304  7 Dy 3.43-3.77, 1 Tb 3.57, 1 Ac 3.83
2 Dy 0.8177 0.4421 0.9844  5 Dy 3.23-3.60, 2 Tb 3.42-3.51, 1 Ho 3.50
3 Dy 0.4424 0.2506 0.8696  7 Dy 3.43-3.77, 1 Tb 3.57, 1 Ac 3.83
4 Dy 0.8836 0.2881 0.5078  4 Dy 3.23-3.47, 3 Tb 3.26-3.43, 2 Ho 3.44-3.55
5 Dy 0.1823 0.5579 0.0156  5 Dy 3.23-3.60, 2 Tb 3.42-3.51, 1 Ho 3.50
6 Dy 0.0576 0.1304 0.7494  7 Dy 3.43-3.77, 1 Tb 3.57, 1 Ac 3.83
7 Ac 0.2500 0.9715 0.0285  4 Tb 3.45-3.56, 4 Dy 3.66-3.83
8 Dy 0.9424 0.8696 0.2506  7 Dy 3.43-3.77, 1 Tb 3.57, 1 Ac 3.83
9 Tb 0.5484 0.2016 0.3161  6 Dy 3.26-3.57, 2 Ac 3.45-3.56, 1 Ho 3.57
10 Dy 0.6823 0.0156 0.5579  5 Dy 3.23-3.60, 2 Tb 3.42-3.51, 1 Ho 3.50
11 Ho 0.2500 0.4117 0.5883  8 Dy 3.44-3.86, 4 Tb 3.57-3.79
12 Tb 0.0484 0.3161 0.2016  6 Dy 3.26-3.57, 2 Ac 3.45-3.56, 1 Ho 3.57
13 Dy 0.6164 0.4922 0.7119  4 Dy 3.23-3.47, 3 Tb 3.26-3.43, 2 Ho 3.44-3.55
14 Ac 0.7500 0.0285 0.9715  4 Tb 3.45-3.56, 4 Dy 3.66-3.83
15 Dy 0.3836 0.5078 0.2881  4 Dy 3.23-3.47, 3 Tb 3.26-3.43, 2 Ho 3.44-3.55
16 Tb 0.9516 0.6839 0.7984  6 Dy 3.26-3.57, 2 Ac 3.45-3.56, 1 Ho 3.57
17 Dy 0.1164 0.7119 0.4922  4 Dy 3.23-3.47, 3 Tb 3.26-3.43, 2 Ho 3.44-3.55
18 Tb 0.4516 0.7984 0.6839  6 Dy 3.26-3.57, 2 Ac 3.45-3.56, 1 Ho 3.57
19 Dy 0.3177 0.9844 0.4421  5 Dy 3.23-3.60, 2 Tb 3.42-3.51, 1 Ho 3.50
20 Ho 0.7500 0.5883 0.4117  8 Dy 3.44-3.86, 4 Tb 3.57-3.79

AcTb2Dy5Ho | GGA-PBE | optimized geometry

Values from the calculation:
Its formation energy is 2.521 eV/f.u. For the density of states at the Fermi level, the calculation gives 11.2 states/eV/f.u. The calculation puts the magnetization at 0.0 μB per formula unit.

a b c (Å): 8.9654 8.9654 9.8344
angles (deg): 117.12 117.12 90.00
Last column: nearest neighbours and their distance in Å.
Fractional positions:
1 Tb 0.6134 0.1134 0.0000  1 Tb 2.88, 2 Dy 3.02
2 Tb 0.3866 0.8866 0.0000  1 Tb 2.88, 2 Dy 3.02
3 Tb 0.1134 0.3866 0.0000  1 Tb 2.88, 2 Dy 3.02
4 Ho 0.7500 0.2500 0.5000  4 Dy 3.16
5 Dy 0.1682 0.0752 0.7433  1 Tb 3.02, 1 Ho 3.16
6 Dy 0.3318 0.8318 0.2567  1 Tb 3.02, 1 Ho 3.16
7 Dy 0.9248 0.4248 0.2567  1 Tb 3.02, 1 Ho 3.16
8 Dy 0.8318 0.9248 0.2567  1 Tb 3.02, 1 Ho 3.16
9 Tb 0.8866 0.6134 0.0000  1 Tb 2.88, 2 Dy 3.02
10 Dy 0.5000 0.5000 0.0000  4 Tb 3.61, 8 Dy 3.76, 2 Ac 3.76
11 Dy 0.6682 0.1682 0.7433  1 Tb 3.02, 1 Ho 3.16
12 Ac 0.2500 0.2500 0.5000  10 Dy 3.71-3.76
13 Dy 0.5752 0.6682 0.7433  1 Tb 3.02, 1 Ho 3.16
14 Dy 0.0000 0.0000 0.0000  4 Tb 3.61, 8 Dy 3.76, 2 Ac 3.76
15 Ac 0.7500 0.7500 0.5000  10 Dy 3.71-3.76
16 Dy 0.0752 0.5752 0.7433  1 Tb 3.02, 1 Ho 3.16
17 Dy 0.4248 0.3318 0.2567  1 Tb 3.02, 1 Ho 3.16
18 Ho 0.2500 0.7500 0.5000  4 Dy 3.16

Ac2DyHoTe6 | GGA-PBE | optimized geometry

Values from the calculation:
For the density of states at the Fermi level, the calculation gives 0.0 states/eV/f.u. The calculation puts the raw formation energy at -1.441 eV per atom. The calculation puts the magnetization at 0.0 μB per formula unit.

a b c (Å): 8.0865 8.0865 8.4300
angles (deg): 61.35 61.35 60.02
Last column: nearest neighbours and their distance in Å.
Fractional positions:
1 Te 0.4550 0.6893 0.7642  1 Dy 3.06, 1 Ho 3.09, 2 Ac 3.31-3.38
2 Ho 0.3220 0.3218 0.0344  6 Te 3.05-3.09
3 Te 0.0913 0.4551 0.7642  1 Dy 3.06, 1 Ho 3.09, 2 Ac 3.31-3.38
4 Te 0.9564 0.5899 0.2638  1 Ho 3.05, 1 Dy 3.10, 2 Ac 3.31-3.38
5 Te 0.5901 0.1899 0.2637  1 Ho 3.05, 1 Dy 3.10, 2 Ac 3.31-3.38
6 Te 0.6894 0.0915 0.7641  1 Dy 3.06, 1 Ho 3.09, 2 Ac 3.31-3.38
7 Ac 0.0230 0.0228 0.9314  6 Te 3.31-3.38
8 Dy 0.8215 0.8217 0.5350  6 Te 3.06-3.10
9 Te 0.1898 0.9563 0.2638  1 Ho 3.05, 1 Dy 3.10, 2 Ac 3.31-3.38
10 Ac 0.5231 0.5232 0.4306  6 Te 3.31-3.38

Ac2DyHoTe5 | GGA-PBE | optimized geometry

Values from the calculation:
For the density of states at the Fermi level, the calculation gives 6.9 states/eV/f.u. The calculation puts the raw formation energy at -0.994 eV per atom. The calculation puts the magnetization at 0.0 μB per formula unit.

a b c (Å): 5.5025 5.5025 11.6330
angles (deg): 90.00 90.00 90.00
Last column: nearest neighbours and their distance in Å.
Fractional positions:
1 Ho 0.0000 0.0000 0.5000  6 Te 2.75-2.97
2 Te 0.5000 0.0000 0.5000  2 Ho 2.75
3 Te 0.0000 0.0000 0.2448  1 Dy 2.85, 1 Ho 2.97
4 Te 0.0000 0.0000 0.7552  1 Dy 2.85, 1 Ho 2.97
5 Dy 0.0000 0.0000 0.0000  2 Te 2.85
6 Te 0.0000 0.5000 0.5000  2 Ho 2.75
7 Ac 0.5000 0.5000 0.7019  5 Te 3.47-3.62
8 Te 0.5000 0.5000 0.0000  2 Ac 3.47
9 Ac 0.5000 0.5000 0.2981  5 Te 3.47-3.62

Ac3Dy3HoTe8 | GGA-PBE | optimized geometry

Values from the calculation:
For the density of states at the Fermi level, the calculation gives 7.3 states/eV/f.u. The calculation puts the raw formation energy at -1.422 eV per atom. The calculation puts the magnetization at 0.0 μB per formula unit.

a b c (Å): 8.9240 8.9240 9.1470
angles (deg): 119.20 90.00 120.00
Last column: nearest neighbours and their distance in Å.
Fractional positions:
1 Ac 0.0000 0.0000 0.0000  6 Te 3.31
2 Ac 0.0000 0.5000 0.0000  6 Te 3.31
3 Dy 0.0000 0.5000 0.5000  6 Te 3.08
4 Te 0.7533 0.0170 0.2704  2 Dy 3.08, 1 Ho 3.15, 2 Ac 3.31
5 Te 0.7534 0.5067 0.2704  2 Dy 3.08, 1 Ho 3.15, 2 Ac 3.31
6 Te 0.2467 0.9830 0.7296  2 Dy 3.08, 1 Ho 3.15, 2 Ac 3.31
7 Te 0.2637 0.0170 0.2704  2 Dy 3.08, 1 Ho 3.15, 2 Ac 3.31
8 Ac 0.5000 0.5000 0.0000  6 Te 3.31
9 Te 0.7363 0.9830 0.7296  2 Dy 3.08, 1 Ho 3.15, 2 Ac 3.31
10 Te 0.7414 0.4827 0.7241  3 Dy 3.08, 3 Ac 3.31
11 Te 0.2586 0.5173 0.2759  3 Dy 3.08, 3 Ac 3.31
12 Dy 0.5000 0.5000 0.5000  6 Te 3.08
13 Ho 0.0000 0.0000 0.5000  6 Te 3.15
14 Dy 0.5000 0.0000 0.5000  6 Te 3.08
15 Te 0.2466 0.4933 0.7296  2 Dy 3.08, 1 Ho 3.15, 2 Ac 3.31

AcDyHoTh | GGA-PBE | optimized geometry

Values from the calculation:
Its formation energy is 0.565 eV/f.u. For the density of states at the Fermi level, the calculation gives 6.7 states/eV/f.u. The calculation puts the magnetization at 0.0 μB per formula unit.

a b c (Å): 5.8030 5.8030 5.8030
angles (deg): 60.00 60.00 60.00
Last column: nearest neighbours and their distance in Å.
Fractional positions:
1 Ac 0.2500 0.2500 0.2500  4 Dy 3.55, 4 Ho 3.55
2 Ho 0.0000 0.0000 0.0000  4 Ac 3.55, 4 Th 3.55
3 Th 0.7500 0.7500 0.7500  4 Ho 3.55, 4 Dy 3.55
4 Dy 0.5000 0.5000 0.5000  4 Th 3.55, 4 Ac 3.55

AcDyHo2Tl4 | GGA-PBE | optimized geometry

Values from the calculation:
Its formation energy is -2.466 eV/f.u. For the density of states at the Fermi level, the calculation gives 6.4 states/eV/f.u. The calculation puts the magnetization at 0.0 μB per formula unit.

a b c (Å): 5.4785 5.4785 9.5831
angles (deg): 73.39 73.39 60.00
Last column: nearest neighbours and their distance in Å.
Fractional positions:
1 Tl 0.6198 0.6198 0.1406  1 Dy 3.25, 4 Ho 3.33-3.58, 3 Ac 3.41
2 Ho 0.7518 0.7518 0.7445  8 Tl 3.24-3.58
3 Ho 0.2482 0.2482 0.2555  8 Tl 3.24-3.58
4 Ac 0.0000 0.0000 0.0000  8 Tl 3.41-3.49
5 Tl 0.8714 0.8714 0.3859  4 Ho 3.24-3.38, 3 Dy 3.33, 1 Ac 3.49
6 Dy 0.5000 0.5000 0.5000  8 Tl 3.25-3.33
7 Tl 0.3802 0.3802 0.8594  1 Dy 3.25, 4 Ho 3.33-3.58, 3 Ac 3.41
8 Tl 0.1286 0.1286 0.6141  4 Ho 3.24-3.38, 3 Dy 3.33, 1 Ac 3.49

AcDyHoTl | GGA-PBE | optimized geometry

Values from the calculation:
Its formation energy is 0.251 eV/f.u. For the density of states at the Fermi level, the calculation gives 7.1 states/eV/f.u. The calculation puts the magnetization at 1.1 μB per formula unit.

a b c (Å): 5.6172 5.6172 5.6172
angles (deg): 60.00 60.00 60.00
Last column: nearest neighbours and their distance in Å.
Fractional positions:
1 Dy 0.5000 0.5000 0.5000  4 Ac 3.44, 4 Tl 3.44
2 Ho 0.0000 0.0000 0.0000  4 Tl 3.44, 4 Ac 3.44
3 Ac 0.7500 0.7500 0.7500  4 Ho 3.44, 4 Dy 3.44
4 Tl 0.2500 0.2500 0.2500  4 Dy 3.44, 4 Ho 3.44

AcDy6Ho3Tm2 | GGA-PBE | optimized geometry

Values from the calculation:
Its formation energy is 0.411 eV/f.u. For the density of states at the Fermi level, the calculation gives 15.5 states/eV/f.u. The calculation puts the magnetization at 0.0 μB per formula unit.

a b c (Å): 6.1673 6.1673 11.8195
angles (deg): 94.97 94.97 119.97
Last column: nearest neighbours and their distance in Å.
Fractional positions:
1 Dy 0.7482 0.7482 0.2545  3 Ho 3.51-3.53, 6 Dy 3.54-3.60, 2 Tm 3.60, 1 Ac 3.62
2 Ho 0.8328 0.1672 0.5000  6 Dy 3.51-3.53, 6 Ho 3.55-3.57
3 Tm 0.6667 0.3333 0.0000  3 Ac 3.56, 3 Tm 3.56, 6 Dy 3.60
4 Dy 0.9150 0.5782 0.7458  3 Ho 3.51-3.53, 6 Dy 3.54-3.60, 2 Tm 3.60, 1 Ac 3.62
5 Dy 0.5782 0.9150 0.7458  3 Ho 3.51-3.53, 6 Dy 3.54-3.60, 2 Tm 3.60, 1 Ac 3.62
6 Ac 0.0000 0.0000 0.0000  6 Tm 3.56, 6 Dy 3.62
7 Tm 0.3333 0.6667 0.0000  3 Ac 3.56, 3 Tm 3.56, 6 Dy 3.60
8 Dy 0.0850 0.4218 0.2542  3 Ho 3.51-3.53, 6 Dy 3.54-3.60, 2 Tm 3.60, 1 Ac 3.62
9 Dy 0.2518 0.2518 0.7455  3 Ho 3.51-3.53, 6 Dy 3.54-3.60, 2 Tm 3.60, 1 Ac 3.62
10 Ho 0.5000 0.5000 0.5000  6 Dy 3.51-3.53, 6 Ho 3.55-3.56
11 Dy 0.4218 0.0850 0.2542  3 Ho 3.51-3.53, 6 Dy 3.54-3.60, 2 Tm 3.60, 1 Ac 3.62
12 Ho 0.1672 0.8328 0.5000  6 Dy 3.51-3.53, 6 Ho 3.55-3.57

AcDy2Ho4Tm | GGA-PBE | optimized geometry

Values from the calculation:
Its formation energy is 0.365 eV/f.u. For the density of states at the Fermi level, the calculation gives 11.3 states/eV/f.u. The calculation puts the magnetization at 0.0 μB per formula unit.

a b c (Å): 5.0690 5.0501 11.3230
angles (deg): 63.53 90.00 90.00
Last column: nearest neighbours and their distance in Å.
Fractional positions:
1 Tm 0.0000 0.5000 0.5000  8 Ho 3.51-3.52, 4 Dy 3.58
2 Ho 0.0000 0.7591 0.7409  2 Tm 3.51, 4 Dy 3.52-3.64, 4 Ho 3.58, 2 Ac 3.65
3 Ac 0.5000 0.5000 0.0000  4 Dy 3.58, 8 Ho 3.64-3.65
4 Ho 0.5000 0.7408 0.2592  4 Dy 3.51-3.65, 2 Tm 3.52, 4 Ho 3.58, 2 Ac 3.64
5 Dy 0.5000 0.0000 0.5000  8 Ho 3.51-3.52, 4 Tm 3.58
6 Ho 0.5000 0.2592 0.7408  4 Dy 3.51-3.65, 2 Tm 3.52, 4 Ho 3.58, 2 Ac 3.64-3.65
7 Dy 0.0000 0.0000 0.0000  4 Ac 3.58, 8 Ho 3.64-3.65
8 Ho 0.0000 0.2409 0.2591  2 Tm 3.51, 4 Dy 3.52-3.64, 4 Ho 3.58, 2 Ac 3.65

AcDyHo4Tm2 | GGA-PBE | optimized geometry

Values from the calculation:
Its formation energy is 0.380 eV/f.u. For the density of states at the Fermi level, the calculation gives 11.2 states/eV/f.u. The calculation puts the magnetization at 0.0 μB per formula unit.

a b c (Å): 5.0670 5.0417 11.3026
angles (deg): 63.52 90.00 90.00
Last column: nearest neighbours and their distance in Å.
Fractional positions:
1 Dy 0.0000 0.5000 0.5000  8 Ho 3.51, 4 Tm 3.57
2 Ho 0.5000 0.7405 0.2595  4 Tm 3.50-3.65, 2 Dy 3.51, 4 Ho 3.57, 2 Ac 3.64
3 Ho 0.0000 0.7589 0.7413  2 Dy 3.51, 4 Tm 3.52-3.64, 4 Ho 3.57, 2 Ac 3.64
4 Tm 0.5000 0.0000 0.5000  8 Ho 3.50-3.52, 4 Dy 3.57
5 Ho 0.5000 0.2595 0.7405  4 Tm 3.50-3.65, 2 Dy 3.51, 4 Ho 3.57, 2 Ac 3.64
6 Tm 0.0000 0.0000 0.0000  4 Ac 3.57, 8 Ho 3.63-3.65
7 Ac 0.5000 0.5000 0.0000  4 Tm 3.57, 8 Ho 3.64
8 Ho 0.0000 0.2412 0.2587  2 Dy 3.51, 4 Tm 3.52-3.63, 4 Ho 3.57, 2 Ac 3.64